A geometry-optimized La6CdOs2Br3 structure, computed with PBE. Values from VASP.

The structure in Quantum ESPRESSO input format:
```
&SYSTEM
  ibrav = 0, nat = 12, ntyp = 4
/
ATOMIC_SPECIES
La 138.91 La.upf
Cd 112.41 Cd.upf
Os 190.23 Os.upf
Br 79.90 Br.upf
CELL_PARAMETERS angstrom
10.106 -2.118 0.000
10.106 2.118 0.000
-2.940 0.000 9.016
ATOMIC_POSITIONS crystal
La 0.028 0.028 0.266
La 0.318 0.318 0.439
La 0.333 0.333 0.864
La 0.667 0.667 0.136
La 0.682 0.682 0.561
La 0.972 0.972 0.734
Cd 0.500 0.500 0.000
Os 0.167 0.167 0.340
Os 0.833 0.833 0.660
Br 0.167 0.167 0.837
Br 0.500 0.500 0.500
Br 0.833 0.833 0.163
```

- DFT total energy: -5.65 eV/atom
- Magnetization: 0.00 Bohr magnetons per cell
- Formation energy (no corrections): -821 meV per atom